## K2VInO5 (PBE with a Hubbard U)

Data for crystalline K2VInO5 at its relaxed geometry.

Lattice parameters (Å, degrees): 3.4267 17.3439 10.5240 90.00 90.00 90.00
Space group Cmc2_1 (No. 36)
Inequivalent atoms, fractional coordinates:
1 K 0.0000 0.0860 0.0000 [4 per cell]
2 K 0.0000 0.1154 0.6665 [4 per cell]
3 V 0.0000 0.4147 0.7917 [4 per cell]
4 In 0.0000 0.2330 0.3988 [4 per cell]
5 O 0.0000 0.0698 0.3610 [4 per cell]
6 O 0.0000 0.3240 0.9655 [4 per cell]
7 O 0.0000 0.3337 0.7018 [4 per cell]
8 O 0.0000 0.3424 0.3494 [4 per cell]
9 O 0.0000 0.4861 0.6816 [4 per cell]

Calculated values
D(E_F) ... 0.00 states/eV/cell
Final energy ... -0.212 hartree per atom
Crystal system ... orthorhombic
Calculated volume ... 156 Å³/f.u.